First-principles (SCAN) data for a PBEsol-optimized structure of BaTaAg, as listed in the Alexandria database.

Output
* formation energy: 230 kJ/mol of formula units

Cell: 3.138 3.138 14.520 Å, 90.00 90.00 90.00°
Space group I4mm (No. 107)
Symmetry-distinct sites (fractional):
Ba  0.000  0.000  0.000
Ta  0.000  0.000  0.306
Ag  0.000  0.000  0.685

First-principles (SCAN) data for a PBEsol-optimized structure of BaTaAg3, as listed in the Alexandria database.

Output
* formation energy: 324 kJ/mol of formula units

Cell: 5.182 5.182 5.182 Å, 90.00 90.00 90.00°
Space group Pm-3m (No. 221)
Symmetry-distinct sites (fractional):
Ba  0.000  0.000  0.000
Ta  0.500  0.500  0.500
Ag  0.000  0.500  0.500

First-principles (SCAN) data for a PBEsol-optimized structure of BaTcAg2, as listed in the Alexandria database.

Output
* formation energy: 306 kJ/mol of formula units

Cell: 3.121 4.856 10.865 Å, 90.00 90.00 90.00°
Space group Immm (No. 71)
Symmetry-distinct sites (fractional):
Ba  0.000  0.000  0.000
Tc  0.000  0.000  0.500
Ag  0.000  0.500  0.217

First-principles (SCAN) data for a PBEsol-optimized structure of Ba2ZrTcAg, as listed in the Alexandria database.

Output
* formation energy: 437 kJ/mol of formula units

Cell: 6.343 6.343 4.528 Å, 90.00 90.00 90.00°
Space group P4/mmm (No. 123)
Symmetry-distinct sites (fractional):
Ba  0.000  0.500  0.000
Zr  0.000  0.000  0.000
Tc  0.000  0.000  0.500
Ag  0.500  0.500  0.500